Entry 1:
BaCeO3 | PBEsol | relaxed Values from VASP.

mass density = 6.41 Mg/m³
SG = Pnma, No. 62
energy relative to the elements, uncorrected = -306 kJ per mole of atoms

```
&SYSTEM
  ibrav = 0, nat = 20, ntyp = 3
/
ATOMIC_SPECIES
Ba 137.33 Ba.upf
Ce 140.12 Ce.upf
O 16.00 O.upf
CELL_PARAMETERS angstrom
6.2041 0.0000 0.0000
0.0000 8.7479 0.0000
0.0000 0.0000 6.2143
ATOMIC_POSITIONS crystal
Ba 0.0248 0.2500 0.0080
Ba 0.4752 0.7500 0.5080
Ba 0.5248 0.2500 0.4920
Ba 0.9752 0.7500 0.9920
Ce 0.0000 0.0000 0.5000
Ce 0.0000 0.5000 0.5000
Ce 0.5000 0.0000 0.0000
Ce 0.5000 0.5000 0.0000
O 0.0183 0.7500 0.4217
O 0.2217 0.5428 0.7772
O 0.2217 0.9572 0.7772
O 0.2783 0.0428 0.2772
O 0.2783 0.4572 0.2772
O 0.4817 0.2500 0.9217
O 0.5183 0.7500 0.0783
O 0.7217 0.5428 0.7228
O 0.7217 0.9572 0.7228
O 0.7783 0.0428 0.2228
O 0.7783 0.4572 0.2228
O 0.9817 0.2500 0.5783
```

***

Entry 2:
AsWIBr2 | PBEsol | relaxed Values from VASP.

mass density = 7.34 Mg/m³
SG = P4/mmm, No. 123
energy relative to the elements, uncorrected = 31 kJ per mole of atoms

```
&SYSTEM
  ibrav = 0, nat = 5, ntyp = 4
/
ATOMIC_SPECIES
As 74.92 As.upf
W 183.84 W.upf
I 126.90 I.upf
Br 79.90 Br.upf
CELL_PARAMETERS angstrom
4.9411 0.0000 0.0000
0.0000 4.9411 0.0000
0.0000 0.0000 5.0554
ATOMIC_POSITIONS crystal
As 0.0000 0.0000 0.0000
W 0.0000 0.0000 0.5000
I 0.5000 0.5000 0.0000
Br 0.0000 0.5000 0.5000
Br 0.5000 0.0000 0.5000
```

***

Entry 3:
BiSeBr2O | PBEsol | relaxed Values from VASP.

mass density = 4.35 Mg/m³
SG = P4/mmm, No. 123
energy relative to the elements, uncorrected = 55 kJ per mole of atoms

```
&SYSTEM
  ibrav = 0, nat = 5, ntyp = 4
/
ATOMIC_SPECIES
Bi 208.98 Bi.upf
Se 78.96 Se.upf
Br 79.90 Br.upf
O 16.00 O.upf
CELL_PARAMETERS angstrom
5.5756 0.0000 0.0000
0.0000 5.5756 0.0000
0.0000 0.0000 5.6984
ATOMIC_POSITIONS crystal
Bi 0.0000 0.0000 0.0000
Se 0.0000 0.0000 0.5000
Br 0.0000 0.5000 0.0000
Br 0.5000 0.0000 0.0000
O 0.5000 0.5000 0.5000
```

***

Entry 4:
Ba3TlS | PBEsol | relaxed Values from VASP.

mass density = 4.13 Mg/m³
SG = Pm-3m, No. 221
energy relative to the elements, uncorrected = -14 kJ per mole of atoms

```
&SYSTEM
  ibrav = 0, nat = 5, ntyp = 3
/
ATOMIC_SPECIES
Ba 137.33 Ba.upf
Tl 204.38 Tl.upf
S 32.06 S.upf
CELL_PARAMETERS angstrom
6.3893 0.0000 0.0000
0.0000 6.3893 0.0000
0.0000 0.0000 6.3893
ATOMIC_POSITIONS crystal
Ba 0.0000 0.0000 0.5000
Ba 0.0000 0.5000 0.0000
Ba 0.5000 0.0000 0.0000
Tl 0.0000 0.0000 0.0000
S 0.5000 0.5000 0.5000
```

***

- mass density of number 1 (BaCeO3)?
  6.41 Mg/m³

***

- What is the formula in the fourth record?
  Ba3TlS